(1)
Below is a relaxed NaSmGaHg crystal, with properties calculated at the PBE level.

Output
Crystal system: cubic
Formation enthalpy at 0 K (eV/atom): -0.330
E (eV/atom): -2.671
D(E_F) (states/eV/f.u.): 2.67
Size of the total moment (μB per atom): 0.0000

Cell lengths 5.1590, 5.1590, 5.1590 Å; angles 60.00, 60.00, 60.00 degrees
Last column: nearest neighbours and their distance in Å.
Sites, in units of the cell vectors:
Na (0.5000, 0.5000, 0.5000)  4 Ga 3.16, 4 Hg 3.16
Ga (0.2500, 0.2500, 0.2500)  4 Sm 3.16, 4 Na 3.16
Hg (0.7500, 0.7500, 0.7500)  4 Na 3.16, 4 Sm 3.16
Sm (0.0000, 0.0000, 0.0000)  4 Hg 3.16, 4 Ga 3.16

=====

(2)
Below is a relaxed Cr2NiAg crystal, with properties calculated at the PBE level.

Output
Crystal system: orthorhombic
Energy above the lowest structure with this stoichiometry (meV per atom): 10
Formation enthalpy at 0 K (eV/atom): 0.294
E (eV/atom): -6.676
D(E_F) (states/eV/f.u.): 3.50
Size of the total moment (μB per atom): 0.0000

Cell lengths 2.6073, 2.6073, 8.3039 Å; angles 90.00, 90.00, 111.06 degrees
Last column: nearest neighbours and their distance in Å.
Sites, in units of the cell vectors:
Ag (0.5000, 0.5000, 0.7465)  4 Ag 2.61, 2 Ni 2.71, 2 Cr 2.81
Cr (0.0000, 0.0000, 0.0345)  2 Cr 2.29
Cr (0.5000, 0.5000, 0.2457)  2 Cr 2.29, 2 Ni 2.40
Ni (0.0000, 0.0000, 0.4732)  2 Cr 2.40, 4 Ni 2.61

=====

(3)
Below is a relaxed Pm2CdAg5 crystal, with properties calculated at the PBE level.

Output
Crystal system: tetragonal
Energy above the lowest structure with this stoichiometry (meV per atom): 61
Formation enthalpy at 0 K (eV/atom): -0.106
E (eV/atom): -3.190
D(E_F) (states/eV/f.u.): 4.62
Size of the total moment (μB per atom): 0.0000

Cell lengths 6.2252, 6.2252, 6.2252 Å; angles 101.66, 113.51, 113.51 degrees
Last column: nearest neighbours and their distance in Å.
Sites, in units of the cell vectors:
Pm (0.5000, 0.2739, 0.7739)  10 Ag 3.13-3.43, 2 Cd 3.46
Pm (0.5000, 0.7739, 0.2739)  10 Ag 3.13-3.43, 2 Cd 3.46
Cd (0.0000, 0.8501, 0.8501)  9 Ag 2.95-3.26
Ag (0.4181, 0.7339, 0.7339)  3 Ag 2.85-3.10, 1 Cd 3.13, 4 Pm 3.13-3.14
Ag (0.0000, 0.7339, 0.3158)  3 Ag 2.85-3.10, 1 Cd 3.13, 4 Pm 3.13-3.14
Ag (0.0000, 0.3158, 0.7339)  3 Ag 2.85-3.10, 1 Cd 3.13, 4 Pm 3.13-3.14
Ag (0.5819, 0.3158, 0.3158)  3 Ag 2.85-3.10, 1 Cd 3.13, 4 Pm 3.13-3.14
Ag (0.0000, 0.2248, 0.2248)  1 Cd 2.95, 8 Ag 3.10-3.22

=====

(4)
Below is a relaxed LiAc2Pd3 crystal, with properties calculated at the PBE level.

Output
Crystal system: orthorhombic
Energy above the lowest structure with this stoichiometry (meV per atom): 0
Formation enthalpy at 0 K (eV/atom): -0.673
E (eV/atom): -4.958
D(E_F) (states/eV/f.u.): 3.21
Size of the total moment (μB per atom): 0.0000

Cell lengths 6.0959, 6.0959, 8.8661 Å; angles 107.94, 107.94, 95.96 degrees
Last column: nearest neighbours and their distance in Å.
Sites, in units of the cell vectors:
Li (0.6660, 0.6660, 0.3321)  3 Pd 2.49-2.51
Li (0.3340, 0.3340, 0.6679)  3 Pd 2.49-2.51
Ac (0.2500, 0.7500, 0.5000)  8 Pd 3.27-3.28, 4 Li 3.32
Ac (0.7570, 0.7570, 0.0000)  10 Pd 3.31-3.38, 2 Li 3.35
Ac (0.7500, 0.2500, 0.5000)  8 Pd 3.27-3.28, 4 Li 3.32
Ac (0.2430, 0.2430, 0.0000)  10 Pd 3.31-3.38, 2 Li 3.35
Pd (0.3484, 0.8252, 0.1736)  1 Li 2.49, 2 Pd 2.73-2.74
Pd (0.1748, 0.6516, 0.8264)  1 Li 2.49, 2 Pd 2.73-2.74
Pd (0.6516, 0.1748, 0.8264)  1 Li 2.49, 2 Pd 2.73-2.74
Pd (0.8252, 0.3484, 0.1736)  1 Li 2.49, 2 Pd 2.73-2.74
Pd (0.1742, 0.1742, 0.3485)  1 Li 2.51, 2 Pd 2.74
Pd (0.8258, 0.8258, 0.6515)  1 Li 2.51, 2 Pd 2.74

=====

(5)
Below is a relaxed Sm2Tm2Mg3 crystal, with properties calculated at the PBE level.

Output
Crystal system: monoclinic
Formation enthalpy at 0 K (eV/atom): 0.007
E (eV/atom): -3.303
D(E_F) (states/eV/f.u.): 8.01
Size of the total moment (μB per atom): 0.0001

Cell lengths 3.5163, 8.3253, 7.5164 Å; angles 109.56, 103.53, 90.00 degrees
Last column: nearest neighbours and their distance in Å.
Sites, in units of the cell vectors:
Sm (0.4264, 0.2848, 0.8527)  5 Mg 3.39-3.43, 4 Tm 3.47-3.49, 3 Sm 3.49-3.52
Sm (0.5736, 0.7152, 0.1473)  5 Mg 3.39-3.43, 4 Tm 3.47-3.49, 3 Sm 3.49-3.52
Tm (0.1445, 0.4156, 0.2890)  4 Mg 3.33-3.60, 4 Tm 3.40-3.52, 4 Sm 3.47-3.49
Tm (0.8555, 0.5844, 0.7110)  4 Mg 3.33-3.60, 4 Tm 3.40-3.52, 4 Sm 3.47-3.49
Mg (0.0000, 0.0000, 0.0000)  2 Tm 3.38, 6 Mg 3.40-3.52, 4 Sm 3.41
Mg (0.2878, 0.8638, 0.5755)  3 Tm 3.33-3.60, 6 Mg 3.34-3.52, 3 Sm 3.39-3.43
Mg (0.7122, 0.1362, 0.4245)  3 Tm 3.33-3.60, 6 Mg 3.34-3.52, 3 Sm 3.39-3.43

=====

(6)
Below is a relaxed KHgMo2Pd crystal, with properties calculated at the PBE level.

Output
Crystal system: tetragonal
Formation enthalpy at 0 K (eV/atom): 2.750
E (eV/atom): -2.900
D(E_F) (states/eV/f.u.): 6.11
Size of the total moment (μB per atom): 0.0000

Cell lengths 4.4911, 5.3079, 4.4911 Å; angles 90.00, 90.00, 90.00 degrees
Last column: nearest neighbours and their distance in Å.
Sites, in units of the cell vectors:
K (0.0000, 0.0000, 0.0000)  4 Mo 2.25
Mo (0.0000, 0.0000, 0.5000)  2 K 2.25
Mo (0.5000, 0.0000, 0.0000)  2 K 2.25
Hg (0.0000, 0.5000, 0.0000)  2 K 2.65
Pd (0.5000, 0.5000, 0.5000)  4 Hg 3.18, 8 Mo 3.48

=====

(7)
Below is a relaxed AsRu crystal, with properties calculated at the PBE level.

Output
Crystal system: trigonal
Formation enthalpy at 0 K (eV/atom): -0.026
E (eV/atom): -6.989
D(E_F) (states/eV/f.u.): 1.76
Size of the total moment (μB per atom): 0.0000

Cell lengths 4.2349, 4.2349, 4.2349 Å; angles 41.29, 41.29, 41.29 degrees
Last column: nearest neighbours and their distance in Å.
Sites, in units of the cell vectors:
Ru (0.5000, 0.5000, 0.5000)  6 As 2.59
As (0.0000, 0.0000, 0.0000)  6 Ru 2.59

=====

(8)
Below is a relaxed CdSbSe3 crystal, with properties calculated at the PBE level.

Output
Crystal system: cubic
Energy above the lowest structure with this stoichiometry (meV per atom): 596
ΔE_f (raw) (eV per formula unit): 1.555
E (eV/atom): -2.787
D(E_F) (states/eV/f.u.): 3.81
Size of the total moment (μB per atom): 0.0000

Cell lengths 5.3078, 5.3078, 5.3078 Å; angles 90.00, 90.00, 90.00 degrees
Last column: nearest neighbours and their distance in Å.
Sites, in units of the cell vectors:
Sb (0.0000, 0.0000, 0.0000)  6 Se 2.65
Se (0.0000, 0.5000, 0.0000)  2 Sb 2.65
Se (0.0000, 0.0000, 0.5000)  2 Sb 2.65
Se (0.5000, 0.0000, 0.0000)  2 Sb 2.65
Cd (0.5000, 0.5000, 0.5000)  12 Se 3.75